No. 1
The following is a GGA-PBE calculation of TaTlSe4 after structural relaxation, from Alexandria via LeMat-Bulk.

Properties
E ... -5.1572 eV per atom
Crystal system ... monoclinic
Magnetic moment ... 0.000 μB/f.u.
Raw formation energy ... -0.464 eV/atom
SG ... C2/c (15)

Cell: 7.9929 7.9929 6.4660 Å, 102.44 102.44 121.07°
Atoms (fractional coordinates):
Ta: 0.0005 0.9995 0.7500
Ta: 0.9995 0.0005 0.2500
Tl: 0.3632 0.6368 0.7500
Tl: 0.6368 0.3632 0.2500
Se: 0.0651 0.7711 0.4564
Se: 0.1934 0.3449 0.1418
Se: 0.2289 0.9349 0.0436
Se: 0.3449 0.1934 0.6418
Se: 0.6551 0.8066 0.3582
Se: 0.7711 0.0651 0.9564
Se: 0.8066 0.6551 0.8582
Se: 0.9349 0.2289 0.5436



No. 2
The following is a GGA-PBE calculation of KCaRh after structural relaxation, from Alexandria via LeMat-Bulk.

Properties
E ... -3.6331 eV per atom
Formation enthalpy at 0 K ... -150 meV per atom
Crystal system ... triclinic
Magnetic moment ... 0.344 μB/f.u.
SG ... P-1 (2)

Cell: 4.3021 4.4045 14.6566 Å, 88.95 89.91 60.77°
Atoms (fractional coordinates):
K: 0.1678 0.1714 0.1325
K: 0.8322 0.8286 0.8675
Ca: 0.4958 0.5096 0.3814
Ca: 0.5042 0.4904 0.6186
Rh: 0.1610 0.1781 0.4996
Rh: 0.8390 0.8219 0.5004



No. 3
The following is a GGA-PBE calculation of Mn2Fe6Si after structural relaxation, from Alexandria via LeMat-Bulk.

Properties
E ... -8.2644 eV per atom
Crystal system ... monoclinic
Magnetic moment ... 15.108 μB/f.u.
Raw formation energy ... 0.018 eV/atom
SG ... C2/m (12)

Cell: 6.5977 6.5977 4.1609 Å, 98.63 98.63 140.86°
Atoms (fractional coordinates):
Mn: 0.1629 0.8371 0.0000
Mn: 0.8371 0.1629 0.0000
Fe: 0.1661 0.4971 0.6635
Fe: 0.3399 0.3399 0.1698
Fe: 0.4971 0.1661 0.6635
Fe: 0.5029 0.8339 0.3365
Fe: 0.6601 0.6601 0.8302
Fe: 0.8339 0.5029 0.3365
Si: 0.0000 0.0000 0.5000